Computed, not measured: a relaxed Sr2CoSb crystal at the PBE level of DFT.

Results
ΔE_f (raw)   -0.0046 eV per atom
Space group   P4mm, No. 99
E   -14.6 eV for the cell shown

a = 3.625 Å, b = 3.625 Å, c = 9.107 Å
α = 90.00°, β = 90.00°, γ = 90.00°
Fractional positions:
Co 0.000 0.000 0.581
Sb 0.500 0.500 0.672
Sr 0.000 0.000 0.927
Sr 0.500 0.500 0.319